A relaxed structure of AcPr4Zn5. Source: the Alexandria database, functional PBE-GGA.

Values from the calculation:
energy relative to the elements: -6.51 kcal/mol of atoms

Cell: 3.760 3.760 18.717 Å, 90.00 90.00 90.00°
Space group P4/mmm (No. 123)
Asymmetric unit:
1 Ac 0.000 0.000 0.000 [1 per cell]
2 Pr 0.000 0.000 0.206 [2 per cell]
3 Pr 0.000 0.000 0.402 [2 per cell]
4 Zn 0.500 0.500 0.112 [2 per cell]
5 Zn 0.500 0.500 0.304 [2 per cell]
6 Zn 0.500 0.500 0.500 [1 per cell]


A relaxed structure of NbPtPbBr2. Source: the Alexandria database, functional PBE-GGA.

Values from the calculation:
ΔE_f (raw): 0.122 eV/atom

Cell: 5.082 5.082 5.177 Å, 90.00 90.00 90.00°
Space group P4/mmm (No. 123)
Asymmetric unit:
1 Nb 0.000 0.000 0.000 [1 per cell]
2 Pt 0.000 0.000 0.500 [1 per cell]
3 Pb 0.500 0.500 0.500 [1 per cell]
4 Br 0.000 0.500 0.000 [2 per cell]


A relaxed structure of Ca8ZnSn2. Source: the Alexandria database, functional PBE-GGA.

Values from the calculation:
energy relative to the elements: -8.47 kcal/mol of atoms
excess energy over the best structure of this formula in the dataset: 0 meV/atom

Cell: 18.913 5.390 7.409 Å, 90.00 109.15 90.00°
Space group C2/m (No. 12)
Asymmetric unit:
1 Ca 0.023 0.000 0.287 [4 per cell]
2 Ca 0.097 0.500 0.934 [4 per cell]
3 Ca 0.156 0.500 0.446 [4 per cell]
4 Ca 0.201 0.000 0.785 [4 per cell]
5 Zn 0.000 0.500 0.500 [2 per cell]
6 Sn 0.184 0.000 0.202 [4 per cell]


A relaxed structure of BaNdZn. Source: the Alexandria database, functional PBE-GGA.

Values from the calculation:
energy relative to the elements: -2.34 kcal/mol of atoms

Cell: 3.916 3.916 13.764 Å, 90.00 90.00 90.00°
Space group I4mm (No. 107)
Asymmetric unit:
1 Ba 0.000 0.000 0.000 [2 per cell]
2 Nd 0.000 0.000 0.268 [2 per cell]
3 Zn 0.000 0.000 0.665 [2 per cell]


A relaxed structure of Y4AlAu3. Source: the Alexandria database, functional PBE-GGA.

Values from the calculation:
energy relative to the elements: -17.31 kcal/mol of atoms

Cell: 3.739 4.649 11.204 Å, 90.00 90.00 90.00°
Space group Pmm2 (No. 25)
Asymmetric unit:
1 Y 0.000 0.000 0.000 [1 per cell]
2 Y 0.000 0.500 0.279 [1 per cell]
3 Y 0.500 0.000 0.491 [1 per cell]
4 Y 0.500 0.500 0.786 [1 per cell]
5 Al 0.000 0.000 0.714 [1 per cell]
6 Au 0.000 0.500 0.562 [1 per cell]
7 Au 0.500 0.000 0.224 [1 per cell]
8 Au 0.500 0.500 0.055 [1 per cell]


A relaxed structure of KCdPt2. Source: the Alexandria database, functional PBE-GGA.

Values from the calculation:
energy relative to the elements: 5.34 kcal/mol of atoms
excess energy over the best structure of this formula in the dataset: 445 meV/atom

Cell: 4.347 4.347 8.499 Å, 90.00 90.00 90.00°
Space group I-4m2 (No. 119)
Asymmetric unit:
1 K 0.000 0.000 0.000 [2 per cell]
2 Cd 0.000 0.500 0.250 [2 per cell]
3 Pt 0.000 0.000 0.500 [2 per cell]
4 Pt 0.000 0.500 0.750 [2 per cell]


A relaxed structure of ZnAg2As2. Source: the Alexandria database, functional PBE-GGA.

Values from the calculation:
energy relative to the elements: 5.71 kcal/mol of atoms
excess energy over the best structure of this formula in the dataset: 70 meV/atom

Cell: 8.413 8.413 2.802 Å, 90.00 90.00 90.00°
Space group P4/mbm (No. 127)
Asymmetric unit:
1 Zn 0.000 0.000 0.000 [2 per cell]
2 Ag 0.155 0.345 0.000 [4 per cell]
3 As 0.143 0.643 0.500 [4 per cell]


A relaxed structure of Zr2TlSe4. Source: the Alexandria database, functional PBE-GGA.

Values from the calculation:
ΔE_f (raw): -1.152 eV/atom
excess energy over the best structure of this formula in the dataset: 0 meV/atom

Cell: 3.7774 3.7774 45.8498 Å, 90.00 90.00 120.00°
Space group R-3m (No. 166, hexagonal axes)
Asymmetric unit:
1 Zr 0.0000 0.0000 0.0712 [6 per cell]
2 Tl 0.0000 0.0000 0.5000 [3 per cell]
3 Se 0.0000 0.0000 0.2256 [6 per cell]
4 Se 0.0000 0.0000 0.3700 [6 per cell]